6
Lattice="0.000 6.065 6.065 6.065 0.000 6.065 6.065 6.065 0.000" Properties=species:S:1:pos:R:3 comment="PBE-GGA Er2Pd, optimized geometry" density_g_cm3=3.3 delta_e_f_ev_per_atom=0.84 sg="Fd-3m, No. 227" pbc="T T T"
Er 0.000 0.000 0.000
Er 3.033 3.033 0.000
Er 3.033 0.000 3.033
Er 0.000 3.033 3.033
Pd 1.516 1.516 1.516
Pd 10.614 10.614 10.614